{
  "formula": "BaZn2Cd2",
  "functional": "GGA-PBEsol",
  "state": "optimized geometry",
  "dft_energy_ev_per_atom": -1.71,
  "formation_enthalpy_0k_ev_per_atom": -0.173,
  "lattice": [[4.842, 0.000, 0.000], [0.000, 4.842, 0.000], [-2.421, -2.421, 5.221]],
  "species": ["Zn", "Zn", "Cd", "Cd", "Ba"],
  "frac_coords": [[0.250, 0.750, 0.500], [0.750, 0.250, 0.500], [0.366, 0.366, 0.732], [0.634, 0.634, 0.268], [0.000, 0.000, 0.000]]
}